1.
Computed, not measured: a relaxed La2NdSm2Y2 crystal at the PBE level of DFT.

- E_tot: -5.26 eV per atom
- Magnetization: 0.00 μB per formula unit

a = 11.5591 Å, b = 5.1740 Å, c = 8.1750 Å
α = 90.00°, β = 98.11°, γ = 90.00°
Space group C2/m (No. 12)
Asymmetric unit:
La (0.1424, 0.0000, 0.4282) (multiplicity 4)
Nd (0.0000, 0.0000, 0.0000) (multiplicity 2)
Sm (0.0709, 0.5000, 0.7172) (multiplicity 4)
Y (0.2154, 0.5000, 0.1394) (multiplicity 4)

---

2.
Computed, not measured: a relaxed BaMn2Te crystal at the PBE level of DFT.

- E_tot: -5.47 eV per atom
- Energy relative to the elements, uncorrected: 383 meV/atom
- Magnetization: 8.68 μB per formula unit

a = 4.6992 Å, b = 4.6992 Å, c = 10.3277 Å
α = 90.00°, β = 90.00°, γ = 90.00°
Space group I4/mmm (No. 139)
Asymmetric unit:
Ba (0.0000, 0.0000, 0.0000) (multiplicity 2)
Mn (0.0000, 0.5000, 0.2500) (multiplicity 4)
Te (0.0000, 0.0000, 0.5000) (multiplicity 2)

---

3.
Computed, not measured: a relaxed YTlSb2 crystal at the PBE level of DFT.

- E_tot: -4.69 eV per atom
- Energy relative to the elements, uncorrected: -419 meV/atom
- Magnetization: 0.00 μB per formula unit

a = 6.5644 Å, b = 8.2849 Å, c = 4.1345 Å
α = 90.00°, β = 90.00°, γ = 90.00°
Space group Cmmm (No. 65)
Asymmetric unit:
Y (0.0000, 0.0000, 0.0000) (multiplicity 2)
Tl (0.0000, 0.5000, 0.0000) (multiplicity 2)
Sb (0.2500, 0.2500, 0.5000) (multiplicity 4)

---

4.
Computed, not measured: a relaxed Na3Cd2Pb7 crystal at the PBE level of DFT.

- E_tot: -2.66 eV per atom
- Magnetization: 0.00 μB per formula unit

a = 5.1055 Å, b = 4.6233 Å, c = 16.4454 Å
α = 90.00°, β = 98.51°, γ = 90.00°
Space group P2/m (No. 10)
Asymmetric unit:
Na (0.0000, 0.0000, 0.0000) (multiplicity 1)
Na (0.3214, 0.5000, 0.6445) (multiplicity 2)
Cd (0.1379, 0.0000, 0.2740) (multiplicity 2)
Pb (0.0762, 0.5000, 0.1513) (multiplicity 2)
Pb (0.2262, 0.0000, 0.4510) (multiplicity 2)
Pb (0.4192, 0.0000, 0.8416) (multiplicity 2)
Pb (0.5000, 0.5000, 0.0000) (multiplicity 1)

---

Question: What is the formula in the third record?
Answer: YTlSb2

---

Question: E_tot of number 1 (La2NdSm2Y2)?
Answer: -5.26 eV per atom

---

Question: E_tot of number 3 (YTlSb2)?
Answer: -4.69 eV per atom

---

Question: What is the magnetization in the first record?
Answer: 0.00 μB per formula unit